YThGa2: relaxed, PBE.

Magnetization, μB per atom: 0.0000
Calculated total energy, eV/atom: -5.46
Formation energy from the elements, eV per atom: -0.479

```
16
Lattice="7.299 0.000 0.000 0.000 7.299 0.000 0.000 0.000 7.299" Properties=species:S:1:pos:R:3 pbc="T T T"
Y 0.000 0.000 0.000
Y 0.000 3.649 3.649
Y 3.649 0.000 3.649
Y 3.649 3.649 0.000
Th 0.000 0.000 3.649
Th 0.000 3.649 0.000
Th 3.649 0.000 0.000
Th 3.649 3.649 3.649
Ga 1.825 1.825 1.825
Ga 1.825 1.825 5.474
Ga 1.825 5.474 1.825
Ga 1.825 5.474 5.474
Ga 5.474 1.825 1.825
Ga 5.474 1.825 5.474
Ga 5.474 5.474 1.825
Ga 5.474 5.474 5.474
```

BaCa2In2: relaxed, PBE.

Magnetization, μB per atom: 0.0000
Calculated total energy, eV/atom: -2.55
Formation energy from the elements, eV per atom: -0.272

```
10
Lattice="9.884 0.000 0.000 0.000 5.834 0.000 -0.084 0.000 6.624" Properties=species:S:1:pos:R:3 pbc="T T T"
Ba 0.000 0.000 0.000
Ba 4.942 2.917 0.000
Ca 1.611 2.917 4.363
Ca 3.247 0.000 2.262
Ca 6.553 0.000 4.363
Ca 8.189 2.917 2.262
In 1.584 2.917 1.112
In 3.274 0.000 5.512
In 6.526 0.000 1.112
In 8.216 2.917 5.512
```

MgTeI2F: relaxed, PBE.

Energy relative to the elements, uncorrected, eV/atom: -0.164
Magnetization, μB per atom: 0.2889
Calculated total energy, eV/atom: -2.11

```
5
Lattice="5.552 0.000 0.000 0.000 5.552 0.000 0.000 0.000 5.728" Properties=species:S:1:pos:R:3 pbc="T T T"
Mg 0.000 0.000 0.000
Te 0.000 0.000 2.864
I 0.000 2.776 0.000
I 2.776 0.000 0.000
F 2.776 2.776 2.864
```

BeSbPO2: relaxed, PBE.

Energy relative to the elements, uncorrected, eV/atom: -0.277
Magnetization, μB per atom: 0.0346
Calculated total energy, eV/atom: -4.91

```
5
Lattice="3.680 0.000 0.000 0.000 3.680 0.000 0.000 0.000 4.488" Properties=species:S:1:pos:R:3 pbc="T T T"
Be 0.000 0.000 0.000
Sb 1.840 1.840 2.244
P 0.000 0.000 2.244
O 0.000 1.840 0.000
O 1.840 0.000 0.000
```

Ac2CdAg3: relaxed, PBE.

Magnetization, μB per atom: 0.0000
Calculated total energy, eV/atom: -3.25
Formation energy from the elements, eV per atom: -0.304

```
12
Lattice="0.000 4.946 8.523 3.989 0.000 8.523 3.989 4.946 0.000" Properties=species:S:1:pos:R:3 pbc="T T T"
Ac 6.020 4.946 8.523
Ac 1.994 2.473 4.261
Ac 5.983 7.419 12.784
Ac 1.958 4.946 8.523
Cd 3.989 4.946 5.683
Cd 3.989 4.946 11.362
Ag 3.989 4.946 2.830
Ag 3.989 2.475 7.105
Ag 3.989 2.475 9.941
Ag 3.989 7.418 7.105
Ag 3.989 7.418 9.941
Ag 3.989 4.946 14.215
```

Sr3NiPt: relaxed, PBE.

Magnetization, μB per atom: 0.0000
Calculated total energy, eV/atom: -3.35
Formation energy from the elements, eV per atom: 0.025

```
5
Lattice="5.773 0.000 0.000 0.000 5.773 0.000 0.000 0.000 5.773" Properties=species:S:1:pos:R:3 pbc="T T T"
Sr 0.000 0.000 2.887
Sr 0.000 2.887 0.000
Sr 2.887 0.000 0.000
Ni 2.887 2.887 2.887
Pt 0.000 0.000 0.000
```

Number 1: energy above the lowest structure with this stoichiometry 107.4 meV per atom. Number 2: energy above the lowest structure with this stoichiometry 99.1 meV per atom. Number 3: energy above the lowest structure with this stoichiometry 84.6 meV per atom. Number 4: energy above the lowest structure with this stoichiometry 0.0 meV per atom. Number 5: energy above the lowest structure with this stoichiometry 0.0 meV per atom. Number 6: energy above the lowest structure with this stoichiometry 0.0 meV per atom.